[1]
VASP calculation (PBE-GGA) on YGa3Ru after structural relaxation.

The space group is Pm-3m. For the total energy, the calculation gives -83.30 eV for the cell shown. The calculation puts the energy above the most stable polymorph in this dataset at 0.0 meV per atom. The formation energy is -589 meV/atom.

Lattice parameters (Å, degrees): 6.437 6.437 6.437 90.00 90.00 90.00
Fractional positions:
Ga (0.789, 0.789, 0.211)
Ga (0.211, 0.211, 0.211)
Ga (0.211, 0.789, 0.789)
Ga (0.789, 0.211, 0.211)
Ga (0.211, 0.789, 0.211)
Ga (0.789, 0.211, 0.789)
Ga (0.500, 0.500, 0.500)
Ga (0.789, 0.789, 0.789)
Ga (0.211, 0.211, 0.789)
Ru (0.000, 0.000, 0.500)
Ru (0.500, 0.000, 0.000)
Ru (0.000, 0.500, 0.000)
Y (0.000, 0.500, 0.500)
Y (0.500, 0.500, 0.000)
Y (0.500, 0.000, 0.500)

***

[2]
VASP calculation (PBE-GGA) on ScTiRu2 after structural relaxation.

The space group is Fm-3m. For the total energy, the calculation gives -35.38 eV for the cell shown. The calculation puts the energy above the most stable polymorph in this dataset at 26.6 meV per atom. The formation energy is -652 meV/atom.

Lattice parameters (Å, degrees): 4.441 4.441 4.441 60.00 60.00 60.00
Fractional positions:
Ru (0.750, 0.750, 0.750)
Ru (0.250, 0.250, 0.250)
Ti (0.500, 0.500, 0.500)
Sc (0.000, 0.000, 0.000)

***

[3]
VASP calculation (PBE-GGA) on NaCo2Mo2 after structural relaxation.

The space group is P4/mbm. For the total energy, the calculation gives -70.77 eV for the cell shown. The calculation puts the energy above the most stable polymorph in this dataset at 0.0 meV per atom. The formation energy is 362 meV/atom.

Lattice parameters (Å, degrees): 7.612 7.612 2.582 90.00 90.00 90.00
Fractional positions:
Na (0.000, 0.000, 0.000)
Na (0.500, 0.500, 0.000)
Mo (0.623, 0.123, 0.000)
Mo (0.877, 0.623, 0.000)
Mo (0.377, 0.877, 0.000)
Mo (0.123, 0.377, 0.000)
Co (0.332, 0.168, 0.500)
Co (0.168, 0.668, 0.500)
Co (0.832, 0.332, 0.500)
Co (0.668, 0.832, 0.500)